# YHo3Tl3 PBE optimized geometry
data_YHo3Tl3
_symmetry_space_group_name_H-M 'P 1'
_symmetry_Int_Tables_number 1
_cell_length_a 9.3781
_cell_length_b 9.3781
_cell_length_c 5.2139
_cell_angle_alpha 90.00
_cell_angle_beta 90.00
_cell_angle_gamma 120.00
loop_
_symmetry_equiv_pos_as_xyz
'x,y,z'
loop_
_atom_site_label
_atom_site_fract_x
_atom_site_fract_y
_atom_site_fract_z
Y1 0.3333 0.6667 0.2500
Y2 0.6667 0.3333 0.7500
Ho1 0.0020 0.2332 0.2500
Ho2 0.2312 0.9980 0.2500
Ho3 0.2332 0.2312 0.7500
Ho4 0.7668 0.7688 0.2500
Ho5 0.7688 0.0020 0.7500
Ho6 0.9980 0.7668 0.7500
Tl1 0.0727 0.4498 0.7500
Tl2 0.3772 0.9273 0.7500
Tl3 0.4498 0.3772 0.2500
Tl4 0.5502 0.6228 0.7500
Tl5 0.6228 0.0727 0.2500
Tl6 0.9273 0.5502 0.2500
# - energy of formation (eV per atom) = -0.226
# - E above lowest polymorph (eV/atom) = 0.0234
# - symmetry = P6_3/m (176)
# - Fermi-level density of states (states/eV/cell) = 11.721
# - raw total energy (eV per atom) = -4.13


# NpTlHgBi PBE optimized geometry
data_NpTlHgBi
_symmetry_space_group_name_H-M 'P 1'
_symmetry_Int_Tables_number 1
_cell_length_a 7.7451
_cell_length_b 7.7451
_cell_length_c 7.7451
_cell_angle_alpha 90.00
_cell_angle_beta 90.00
_cell_angle_gamma 90.00
loop_
_symmetry_equiv_pos_as_xyz
'x,y,z'
loop_
_atom_site_label
_atom_site_fract_x
_atom_site_fract_y
_atom_site_fract_z
Np1 0.0000 0.0000 0.0000
Np2 0.0000 0.5000 0.5000
Np3 0.5000 0.0000 0.5000
Np4 0.5000 0.5000 0.0000
Tl1 0.0000 0.0000 0.5000
Tl2 0.0000 0.5000 0.0000
Tl3 0.5000 0.0000 0.0000
Tl4 0.5000 0.5000 0.5000
Hg1 0.2500 0.2500 0.7500
Hg2 0.2500 0.7500 0.2500
Hg3 0.7500 0.2500 0.2500
Hg4 0.7500 0.7500 0.7500
Bi1 0.2500 0.2500 0.2500
Bi2 0.2500 0.7500 0.7500
Bi3 0.7500 0.2500 0.7500
Bi4 0.7500 0.7500 0.2500
# - energy of formation (eV per atom) = 0.192
# - symmetry = F-43m (216)
# - Fermi-level density of states (states/eV/cell) = 62.635
# - raw total energy (eV per atom) = -4.68


# MgPa2S6 PBE optimized geometry
data_MgPa2S6
_symmetry_space_group_name_H-M 'P 1'
_symmetry_Int_Tables_number 1
_cell_length_a 6.5554
_cell_length_b 6.2582
_cell_length_c 13.1010
_cell_angle_alpha 90.00
_cell_angle_beta 119.96
_cell_angle_gamma 90.00
loop_
_symmetry_equiv_pos_as_xyz
'x,y,z'
loop_
_atom_site_label
_atom_site_fract_x
_atom_site_fract_y
_atom_site_fract_z
Mg1 0.0000 0.0000 0.0000
Mg2 0.0000 0.5000 0.5000
Pa1 0.3217 0.0011 0.8213
Pa2 0.3217 0.4989 0.3213
Pa3 0.6783 0.5011 0.6787
Pa4 0.6783 0.9989 0.1787
S1 0.0062 0.7415 0.3364
S2 0.0062 0.7585 0.8364
S3 0.3324 0.7444 0.6627
S4 0.3324 0.7556 0.1627
S5 0.3391 0.2137 0.0004
S6 0.3391 0.2863 0.5004
S7 0.6609 0.7137 0.4996
S8 0.6609 0.7863 0.9996
S9 0.6676 0.2444 0.8373
S10 0.6676 0.2556 0.3373
S11 0.9938 0.2415 0.1636
S12 0.9938 0.2585 0.6636
# - E above lowest polymorph (eV/atom) = 0.0000
# - symmetry = P2_1/c (14)
# - Fermi-level density of states (states/eV/cell) = 0.000
# - formation energy without anion corrections (meV/atom) = -1460
# - raw total energy (eV per atom) = -6.50


# BeOs4Au PBE optimized geometry
data_BeOs4Au
_symmetry_space_group_name_H-M 'P 1'
_symmetry_Int_Tables_number 1
_cell_length_a 5.1442
_cell_length_b 5.1442
_cell_length_c 5.1442
_cell_angle_alpha 60.00
_cell_angle_beta 60.00
_cell_angle_gamma 60.00
loop_
_symmetry_equiv_pos_as_xyz
'x,y,z'
loop_
_atom_site_label
_atom_site_fract_x
_atom_site_fract_y
_atom_site_fract_z
Be1 0.0000 0.0000 0.0000
Os1 0.3749 0.3749 0.3749
Os2 0.3749 0.3749 0.8754
Os3 0.3749 0.8754 0.3749
Os4 0.8754 0.3749 0.3749
Au1 0.7500 0.7500 0.7500
# - energy of formation (eV per atom) = 1.000
# - symmetry = F-43m (216)
# - Fermi-level density of states (states/eV/cell) = 7.537
# - raw total energy (eV per atom) = -7.65


# KErRe2N6 PBE optimized geometry
data_KErRe2N6
_symmetry_space_group_name_H-M 'P 1'
_symmetry_Int_Tables_number 1
_cell_length_a 7.7354
_cell_length_b 7.7354
_cell_length_c 6.3733
_cell_angle_alpha 104.83
_cell_angle_beta 104.83
_cell_angle_gamma 86.36
loop_
_symmetry_equiv_pos_as_xyz
'x,y,z'
loop_
_atom_site_label
_atom_site_fract_x
_atom_site_fract_y
_atom_site_fract_z
K1 0.0848 0.9152 0.7500
K2 0.9152 0.0848 0.2500
Er1 0.2908 0.7092 0.2500
Er2 0.7092 0.2908 0.7500
Re1 0.2114 0.3790 0.8238
Re2 0.3790 0.2114 0.3238
Re3 0.6210 0.7886 0.6762
Re4 0.7886 0.6210 0.1762
N1 0.0007 0.7275 0.2894
N2 0.1792 0.6104 0.8669
N3 0.2725 0.9993 0.2106
N4 0.3084 0.3693 0.1253
N5 0.3693 0.3084 0.6253
N6 0.3896 0.8208 0.6331
N7 0.6104 0.1792 0.3669
N8 0.6307 0.6916 0.3747
N9 0.6916 0.6307 0.8747
N10 0.7275 0.0007 0.7894
N11 0.8208 0.3896 0.1331
N12 0.9993 0.2725 0.7106
# - symmetry = C2/c (15)
# - formation energy without anion corrections (meV/atom) = -380
# - raw total energy (eV per atom) = -8.43


# TlTeO2 PBE optimized geometry
data_TlTeO2
_symmetry_space_group_name_H-M 'P 1'
_symmetry_Int_Tables_number 1
_cell_length_a 3.5168
_cell_length_b 3.5168
_cell_length_c 20.5474
_cell_angle_alpha 90.00
_cell_angle_beta 90.00
_cell_angle_gamma 120.00
loop_
_symmetry_equiv_pos_as_xyz
'x,y,z'
loop_
_atom_site_label
_atom_site_fract_x
_atom_site_fract_y
_atom_site_fract_z
Tl1 0.0000 0.0000 0.0000
Tl2 0.3333 0.6667 0.6667
Tl3 0.6667 0.3333 0.3333
Te1 0.0000 0.0000 0.5000
Te2 0.3333 0.6667 0.1667
Te3 0.6667 0.3333 0.8333
O1 0.0000 0.0000 0.3948
O2 0.0000 0.0000 0.6052
O3 0.3333 0.6667 0.0614
O4 0.3333 0.6667 0.2719
O5 0.6667 0.3333 0.7281
O6 0.6667 0.3333 0.9386
# - E above lowest polymorph (eV/atom) = 0.1960
# - symmetry = R-3m (166)
# - Fermi-level density of states (states/eV/cell) = 4.480
# - formation energy without anion corrections (meV/atom) = -569
# - raw total energy (eV per atom) = -4.43


# Pr5Co2Ni PBE optimized geometry
data_Pr5Co2Ni
_symmetry_space_group_name_H-M 'P 1'
_symmetry_Int_Tables_number 1
_cell_length_a 8.8885
_cell_length_b 8.8885
_cell_length_c 8.8885
_cell_angle_alpha 129.97
_cell_angle_beta 129.97
_cell_angle_gamma 73.45
loop_
_symmetry_equiv_pos_as_xyz
'x,y,z'
loop_
_atom_site_label
_atom_site_fract_x
_atom_site_fract_y
_atom_site_fract_z
Pr1 0.0000 0.0000 0.0000
Pr2 0.0355 0.5355 0.8526
Pr3 0.1830 0.0355 0.5000
Pr4 0.3170 0.8170 0.8526
Pr5 0.4645 0.3170 0.5000
Pr6 0.5000 0.5000 0.0000
Pr7 0.5355 0.6830 0.5000
Pr8 0.6830 0.1830 0.1474
Pr9 0.8170 0.9645 0.5000
Pr10 0.9645 0.4645 0.1474
Co1 0.1106 0.3894 0.5000
Co2 0.3894 0.8894 0.2788
Co3 0.6106 0.1106 0.7212
Co4 0.8894 0.6106 0.5000
Ni1 0.2500 0.2500 0.0000
Ni2 0.7500 0.7500 0.0000
# - energy of formation (eV per atom) = -0.052
# - symmetry = I4/mcm (140)
# - Fermi-level density of states (states/eV/cell) = 18.166
# - raw total energy (eV per atom) = -5.54


# ZnS2N2 PBE optimized geometry
data_ZnS2N2
_symmetry_space_group_name_H-M 'P 1'
_symmetry_Int_Tables_number 1
_cell_length_a 3.6387
_cell_length_b 3.6387
_cell_length_c 7.6002
_cell_angle_alpha 90.00
_cell_angle_beta 90.00
_cell_angle_gamma 90.00
loop_
_symmetry_equiv_pos_as_xyz
'x,y,z'
loop_
_atom_site_label
_atom_site_fract_x
_atom_site_fract_y
_atom_site_fract_z
Zn1 0.0000 0.0000 0.0000
S1 0.0000 0.0000 0.5000
S2 0.5000 0.5000 0.5000
N1 0.0000 0.5000 0.0000
N2 0.5000 0.0000 0.0000
# - E above lowest polymorph (eV/atom) = 0.5946
# - symmetry = P4/mmm (123)
# - Fermi-level density of states (states/eV/cell) = 4.094
# - formation energy without anion corrections (meV/atom) = 1742
# - raw total energy (eV per atom) = -3.49